Record 1
The following is a PBE calculation of a geometry-optimized Ac2TlAg5 structure, from Alexandria.

Cell lengths 4.7829, 17.4747, 10.0584 Å; angles 90.00, 90.00, 90.00 degrees
Last column: nearest neighbours and their distance in Å.
Space group Cmcm (No. 63)
Inequivalent atoms, fractional coordinates:
Ac 0.0000 0.0000 0.0000 [4 per cell]  6 Ag 3.37-3.61, 4 Tl 3.60
Ac 0.0000 0.2058 0.2500 [4 per cell]  13 Ag 3.29-3.66, 2 Tl 3.55
Tl 0.0000 0.4447 0.7500 [4 per cell]  3 Ag 2.82-2.88
Ag 0.0000 0.1820 0.6109 [8 per cell]  6 Ag 2.78-3.07
Ag 0.0000 0.3454 0.5214 [8 per cell]  4 Ag 2.78-2.99, 1 Tl 2.88
Ag 0.0000 0.3940 0.2500 [4 per cell]  1 Tl 2.82, 6 Ag 2.86-3.07

Values from the calculation:
E above lowest polymorph   0.0 meV/atom

---

Record 2
The following is a PBE calculation of a geometry-optimized SrNi3Sb3 structure, from Alexandria.

Cell lengths 6.9747, 6.9747, 6.9747 Å; angles 90.00, 90.00, 90.00 degrees
Last column: nearest neighbours and their distance in Å.
Space group Pm-3n (No. 223)
Inequivalent atoms, fractional coordinates:
Sr 0.0000 0.0000 0.0000 [2 per cell]  12 Sb 3.90, 12 Ni 3.90
Ni 0.0000 0.2500 0.5000 [6 per cell]  4 Sb 2.47
Sb 0.0000 0.5000 0.2500 [6 per cell]  4 Ni 2.47

Values from the calculation:
Formation energy from raw total energies   -241 meV/atom

---

Computed DFT total energy, in the same sequence as the records: -3.323 -4.726 eV per atom.